1.
The following is a DFT calculation (PBE) of a geometry-optimized La2Pm2Pr4Y structure.

Its total DFT energy (no corrections) is -44.84 eV for the cell shown. The value obtained for the formation energy from the elements is 0.0108 eV per atom. As for the space group: No. 12.

Cell lengths 9.835, 9.835, 9.907 Å; angles 115.11, 115.11, 21.84 degrees
Fractional coordinates of all 9 atoms:
La 0.166 0.166 0.499
La 0.834 0.834 0.501
Pm 0.352 0.352 0.832
Pm 0.648 0.648 0.168
Pr 0.018 0.018 0.833
Pr 0.315 0.315 0.167
Pr 0.685 0.685 0.833
Pr 0.982 0.982 0.167
Y 0.500 0.500 0.500

---

2.
The following is a DFT calculation (PBE) of a geometry-optimized LaPm6PrY2 structure.

Its total DFT energy (no corrections) is -97.98 eV for the cell shown. The value obtained for the formation energy from the elements is 0.2148 eV per atom. As for the space group: No. 14.

Cell lengths 6.388, 9.383, 13.272 Å; angles 90.00, 118.58, 90.00 degrees
Fractional coordinates of all 20 atoms:
La 0.000 0.000 0.000
La 0.000 0.500 0.500
Pm 0.084 0.151 0.579
Pm 0.084 0.349 0.079
Pm 0.101 0.041 0.250
Pm 0.101 0.459 0.750
Pm 0.426 0.152 0.921
Pm 0.426 0.348 0.421
Pm 0.574 0.652 0.579
Pm 0.574 0.848 0.079
Pm 0.899 0.541 0.250
Pm 0.899 0.959 0.750
Pm 0.916 0.651 0.921
Pm 0.916 0.849 0.421
Pr 0.500 0.000 0.500
Pr 0.500 0.500 0.000
Y 0.376 0.679 0.251
Y 0.376 0.821 0.751
Y 0.624 0.179 0.249
Y 0.624 0.321 0.749

---

3.
The following is a DFT calculation (PBE) of a geometry-optimized La3Pm2PrY6 structure.

Its total DFT energy (no corrections) is -67.75 eV for the cell shown. The value obtained for the formation energy from the elements is 0.0085 eV per atom. As for the space group: No. 12.

Cell lengths 6.325, 6.325, 11.924 Å; angles 95.06, 95.06, 120.00 degrees
Fractional coordinates of all 12 atoms:
La 0.000 0.000 0.000
La 0.333 0.667 0.000
La 0.667 0.333 0.000
Pm 0.167 0.833 0.500
Pm 0.833 0.167 0.500
Pr 0.500 0.500 0.500
Y 0.084 0.418 0.252
Y 0.249 0.249 0.748
Y 0.418 0.084 0.252
Y 0.582 0.916 0.748
Y 0.751 0.751 0.252
Y 0.916 0.582 0.748

---

4.
The following is a DFT calculation (PBE) of a geometry-optimized LaPmPrY structure.

Its total DFT energy (no corrections) is -20.50 eV for the cell shown. The value obtained for the formation energy from the elements is 0.1059 eV per atom. As for the space group: No. 216.

Cell lengths 5.840, 5.840, 5.840 Å; angles 60.00, 60.00, 60.00 degrees
Fractional coordinates of all 4 atoms:
La 0.000 0.000 0.000
Pm 0.250 0.250 0.250
Pr 0.500 0.500 0.500
Y 0.750 0.750 0.750

---

Q: What is the formula in the second record?
A: LaPm6PrY2

---

Q: Among the records above, which one has the highest total DFT energy (no corrections)?
A: LaPmPrY